# 1
Compound: La2SnO2
Source: Alexandria via LeMat-Bulk
Functional: PBEsol
Structure: relaxed

a b c (Å): 7.830 7.830 7.830
angles (deg): 150.65 150.65 41.99
Element x y z (fractional)
La 0.166 0.166 0.000
La 0.834 0.834 0.000
Sn 0.500 0.500 0.000
O 0.250 0.750 0.500
O 0.750 0.250 0.500

Results
Energy, eV per atom: -7.65
V, Å³/atom: 23.016
Size of the total moment, μB per formula unit: 0.0

# 2
Compound: Sr3La4O9
Source: Alexandria via LeMat-Bulk
Functional: PBEsol
Structure: relaxed

a b c (Å): 6.873 6.873 13.311
angles (deg): 111.17 111.17 63.36
Element x y z (fractional)
Sr 0.064 0.748 0.223
Sr 0.067 0.933 0.500
Sr 0.242 0.399 0.554
Sr 0.399 0.242 0.054
Sr 0.748 0.064 0.723
Sr 0.933 0.067 0.000
La 0.263 0.549 0.839
La 0.339 0.961 0.775
La 0.497 0.754 0.136
La 0.549 0.263 0.339
La 0.568 0.821 0.431
La 0.754 0.497 0.636
La 0.821 0.568 0.931
La 0.961 0.339 0.275
O 0.042 0.196 0.878
O 0.081 0.796 0.655
O 0.138 0.279 0.681
O 0.172 0.646 0.026
O 0.196 0.042 0.378
O 0.223 0.526 0.393
O 0.279 0.138 0.181
O 0.449 0.817 0.955
O 0.493 0.548 0.248
O 0.494 0.848 0.602
O 0.526 0.223 0.893
O 0.548 0.493 0.748
O 0.646 0.172 0.526
O 0.746 0.857 0.316
O 0.796 0.081 0.155
O 0.817 0.449 0.455
O 0.848 0.494 0.102
O 0.857 0.746 0.816

Results
Relative energy among the computed polymorphs, meV/atom: 0
V, Å³/atom: 15.907
Size of the total moment, μB per formula unit: 0.0

# 3
Compound: Sr3La4O9
Source: Alexandria via LeMat-Bulk
Functional: PBEsol
Structure: relaxed

a b c (Å): 9.562 9.562 9.562
angles (deg): 37.51 37.51 37.51
Element x y z (fractional)
Sr 0.000 0.000 0.000
Sr 0.180 0.180 0.180
Sr 0.567 0.567 0.567
La 0.308 0.308 0.308
La 0.436 0.436 0.436
La 0.741 0.741 0.741
La 0.872 0.872 0.872
O 0.059 0.660 0.394
O 0.150 0.769 0.535
O 0.211 0.586 0.974
O 0.394 0.059 0.660
O 0.535 0.150 0.769
O 0.586 0.974 0.211
O 0.660 0.394 0.059
O 0.769 0.535 0.150
O 0.974 0.211 0.586

Results
Relative energy among the computed polymorphs, meV/atom: 72
V, Å³/atom: 18.172
Size of the total moment, μB per formula unit: 0.0

Number 1 is which compound?
La2SnO2